# AlAsPbF2 (GGA-PBE, optimized geometry)
data_AlAsPbF2
_space_group_name_H-M_alt 'P 4/m m m'
_space_group_IT_number 123
_space_group_name_Hall '-P 4 2'
_cell_length_a 4.130
_cell_length_b 4.130
_cell_length_c 5.073
_cell_angle_alpha 90.00
_cell_angle_beta 90.00
_cell_angle_gamma 90.00
loop_
_atom_site_label
_atom_site_type_symbol
_atom_site_fract_x
_atom_site_fract_y
_atom_site_fract_z
_atom_site_occupancy
Al1 Al 0.000 0.000 0.000 1
As1 As 0.000 0.000 0.500 1
Pb1 Pb 0.500 0.500 0.500 1
F1 F 0.000 0.500 0.000 1
# * spin magnetization: 0.00 Bohr magnetons per cell
# * density of states at the Fermi level: 0.43 states/eV/cell
# * formation energy without anion corrections: -729 kJ/mol of formula units

***

# Ac3SnPt3 (GGA-PBE, optimized geometry)
data_Ac3SnPt3
_space_group_name_H-M_alt 'P 63/m'
_space_group_IT_number 176
_space_group_name_Hall '-P 6c'
_cell_length_a 9.2710
_cell_length_b 9.2710
_cell_length_c 6.0921
_cell_angle_alpha 90.00
_cell_angle_beta 90.00
_cell_angle_gamma 120.00
loop_
_atom_site_label
_atom_site_type_symbol
_atom_site_fract_x
_atom_site_fract_y
_atom_site_fract_z
_atom_site_occupancy
Ac1 Ac 0.0537 0.3571 0.2500 1
Sn1 Sn 0.3333 0.6667 0.7500 1
Pt1 Pt 0.0529 0.3655 0.7500 1
# * spin magnetization: 0.00 Bohr magnetons per cell
# * density of states at the Fermi level: 9.05 states/eV/cell
# * energy of formation from the pure elements: -0.9247 eV/atom

***

# TbTlSn2 (GGA-PBE, optimized geometry)
data_TbTlSn2
_space_group_name_H-M_alt 'P 4/m m m'
_space_group_IT_number 123
_space_group_name_Hall '-P 4 2'
_cell_length_a 4.179
_cell_length_b 4.179
_cell_length_c 6.395
_cell_angle_alpha 90.00
_cell_angle_beta 90.00
_cell_angle_gamma 90.00
loop_
_atom_site_label
_atom_site_type_symbol
_atom_site_fract_x
_atom_site_fract_y
_atom_site_fract_z
_atom_site_occupancy
Tb1 Tb 0.000 0.000 0.000 1
Tl1 Tl 0.000 0.000 0.500 1
Sn1 Sn 0.500 0.500 0.235 1
# * spin magnetization: 0.00 Bohr magnetons per cell
# * density of states at the Fermi level: 2.14 states/eV/cell
# * excess energy over the best structure of this formula in the dataset: 0.080 eV/atom
# * energy of formation from the pure elements: -0.3079 eV/atom

***

no.,E (eV/atom)
1,-4.68
2,-5.85
3,-4.06